DFT (meta-GGA SCAN) results for a PBEsol-optimized structure of ZnFe2ReSe.

## Properties
total DFT energy (no corrections)	-135.7	eV for the cell shown
uncorrected formation energy	1056.3	meV/atom

extended XYZ file:
```
5
Lattice="4.228 0.000 0.000 0.000 4.228 0.000 0.000 0.000 4.554" Properties=species:S:1:pos:R:3 pbc="T T T"
Zn 0.000 0.000 0.000
Fe 0.000 2.114 2.277
Fe 2.114 0.000 2.277
Re 2.114 2.114 0.000
Se 2.114 2.114 2.277
```